Entry 1:
KSb4P | PBE | relaxed

Calculated values
Its raw formation energy is 0.32 eV per atom. As for the total magnetization: 0.00 μB/cell. The calculation puts the total energy at -3.51 eV/atom. The calculation puts the density of states at the Fermi level at 4.1 states/eV/f.u. For the mass density, the calculation gives 5.308 g/cm³.

Unit cell a=8.8667 b=8.8667 c=8.8667 alpha=90.00 beta=90.00 gamma=90.00
Closest atoms and distances in Å follow each position.
Space group F-43m (No. 216)
One atom of each set of equivalent atoms:
1 K 0.0000 0.0000 0.0000 x4  12 Sb 3.68, 4 P 3.84
2 Sb 0.1222 0.1222 0.3777 x16  6 Sb 3.07-3.20
3 P 0.2500 0.2500 0.7500 x4  12 Sb 3.67, 4 K 3.84

***

Entry 2:
Ca4Te3 | PBE | relaxed

Calculated values
Its raw formation energy is -1.15 eV per atom. As for the total magnetization: 1.85 μB/cell. The energy above the most stable polymorph in this dataset is 199 meV per atom. The calculation puts the total energy at -3.64 eV/atom. The calculation puts the density of states at the Fermi level at 4.8 states/eV/f.u. For the mass density, the calculation gives 3.740 g/cm³.

Unit cell a=4.3259 b=4.3259 c=25.7717 alpha=90.00 beta=90.00 gamma=90.00
Closest atoms and distances in Å follow each position.
Space group I4/mmm (No. 139)
One atom of each set of equivalent atoms:
1 Ca 0.0000 0.0000 0.0673 x4  1 Te 3.07
2 Ca 0.0000 0.0000 0.3102 x4  5 Te 3.06-3.20
3 Te 0.0000 0.0000 0.1863 x4  6 Ca 3.06-3.20
4 Te 0.0000 0.0000 0.5000 x2  8 Ca 3.52

***

Entry 3:
NaSi3Ag | PBE | relaxed

Calculated values
Its raw formation energy is 0.89 eV per atom. As for the total magnetization: 0.00 μB/cell. The energy above the most stable polymorph in this dataset is 0 meV per atom. The calculation puts the total energy at -3.19 eV/atom. The calculation puts the density of states at the Fermi level at 2.0 states/eV/f.u. For the mass density, the calculation gives 2.930 g/cm³.

Unit cell a=4.9586 b=4.9586 c=4.9586 alpha=90.00 beta=90.00 gamma=90.00
Closest atoms and distances in Å follow each position.
Space group Pm-3m (No. 221)
One atom of each set of equivalent atoms:
1 Na 0.0000 0.0000 0.0000 x1  12 Si 3.51
2 Si 0.0000 0.5000 0.5000 x3  2 Ag 2.48
3 Ag 0.5000 0.5000 0.5000 x1  6 Si 2.48

***

Entry 4:
TaTlP2 | PBE | relaxed

Calculated values
As for the total magnetization: 0.00 μB/cell. The energy above the most stable polymorph in this dataset is 727 meV per atom. The calculation puts the total energy at -5.73 eV/atom. The calculation puts the density of states at the Fermi level at 2.9 states/eV/f.u. For the mass density, the calculation gives 10.161 g/cm³.

Unit cell a=3.7921 b=3.7921 c=10.1664 alpha=90.00 beta=90.00 gamma=90.00
Closest atoms and distances in Å follow each position.
Space group I-4m2 (No. 119)
One atom of each set of equivalent atoms:
1 Ta 0.0000 0.0000 0.0000 x2  4 P 2.68
2 Tl 0.0000 0.5000 0.7500 x2  4 P 2.68
3 P 0.0000 0.0000 0.5000 x2  4 Ta 2.68
4 P 0.0000 0.5000 0.2500 x2  4 Tl 2.68